VASP calculation (meta-GGA SCAN) on LiZnIn2 at its PBEsol-relaxed geometry.

extended XYZ file:
```
4
Lattice="-0.272 -3.210 -0.151 2.043 -0.335 3.437 -5.157 0.292 3.094" Properties=species:S:1:pos:R:3 pbc="T T T"
Zn -1.694 -1.626 3.190
In -3.856 0.218 2.313
In -1.301 0.074 0.780
Li 0.885 -1.772 1.643
```

Computed properties:
Symmetry ... Pmmm (47)
Energy of formation from the pure elements ... -117 meV/atom

VASP calculation (meta-GGA SCAN) on YCo2Hg2 at its PBEsol-relaxed geometry.

extended XYZ file:
```
5
Lattice="4.163 0.000 0.000 0.000 4.163 0.000 -2.082 -2.082 5.314" Properties=species:S:1:pos:R:3 pbc="T T T"
Y 0.000 0.000 0.000
Co 0.000 0.000 4.275
Co 2.082 2.082 1.039
Hg 0.000 2.082 2.657
Hg 2.082 0.000 2.657
```

Computed properties:
Symmetry ... I4/mmm (139)
Energy of formation from the pure elements ... -1 meV/atom

VASP calculation (meta-GGA SCAN) on MnCrSN2 at its PBEsol-relaxed geometry.

extended XYZ file:
```
5
Lattice="3.586 0.000 0.000 0.000 3.586 0.000 0.000 0.000 4.892" Properties=species:S:1:pos:R:3 pbc="T T T"
Cr 0.000 0.000 0.000
S 0.000 0.000 2.446
Mn 1.793 1.793 2.446
N 0.000 1.793 0.000
N 1.793 0.000 0.000
```

Computed properties:
Symmetry ... P4/mmm (123)
Energy relative to the elements, uncorrected ... 23 meV per atom

VASP calculation (meta-GGA SCAN) on Cr2NiPt at its PBEsol-relaxed geometry.

extended XYZ file:
```
4
Lattice="3.695 0.000 0.000 0.000 3.695 0.000 -1.847 -1.847 3.579" Properties=species:S:1:pos:R:3 pbc="T T T"
Cr 1.847 1.847 3.579
Cr 1.847 0.000 1.790
Ni 1.847 1.847 0.000
Pt 0.000 1.847 1.789
```

Computed properties:
Symmetry ... I-4m2 (119)
Energy of formation from the pure elements ... -260 meV/atom

VASP calculation (meta-GGA SCAN) on KInAs at its PBEsol-relaxed geometry.

extended XYZ file:
```
3
Lattice="-2.350 -1.717 4.149 2.089 -3.717 2.739 1.907 0.998 4.588" Properties=species:S:1:pos:R:3 pbc="T T T"
As 0.412 -1.109 2.869
In 0.000 0.000 0.000
K 0.823 -2.218 5.739
```

Computed properties:
Symmetry ... F-43m (216)
Energy of formation from the pure elements ... -185 meV/atom

VASP calculation (meta-GGA SCAN) on CaMg2Sb at its PBEsol-relaxed geometry.

extended XYZ file:
```
4
Lattice="-0.812 1.469 -3.166 2.073 -3.065 -1.954 -5.699 -3.694 -0.253" Properties=species:S:1:pos:R:3 pbc="T T T"
Ca -3.559 -3.513 -2.746
Mg -0.200 -0.129 -0.009
Mg -0.776 -1.710 -2.622
Sb -2.754 -1.785 -0.122
```

Computed properties:
Symmetry ... Pmm2 (25)
Energy relative to the elements, uncorrected ... -327 meV per atom
Excess energy over the best structure of this formula in the dataset ... 14 meV/atom